## Ba2BeIn (PBE)

Data for Ba2BeIn after structural relaxation. Values from VASP.

```
&SYSTEM
  ibrav = 0, nat = 4, ntyp = 3
/
ATOMIC_SPECIES
Ba 137.33 Ba.upf
Be 9.01 Be.upf
In 114.82 In.upf
ATOMIC_POSITIONS angstrom
Ba 2.075 2.075 2.075
Ba 6.226 6.226 6.226
Be 0.000 0.000 0.000
In 4.151 4.151 4.151
CELL_PARAMETERS angstrom
0.000 4.151 4.151
4.151 0.000 4.151
4.151 4.151 0.000
```

Computed properties:
ΔE to the lowest computed polymorph: 89 meV per atom
E_form: 0.143 eV per atom
Total magnetic moment: 0.000 μB/atom